Crystalline PuU2Ga6 at its relaxed geometry. Source: Alexandria, functional PBE.

a = 8.1940 Å, b = 8.1940 Å, c = 2.9903 Å
α = 90.00°, β = 90.00°, γ = 120.00°
Space group P6/mmm (No. 191)
Unique sites:
Pu (0.0000, 0.0000, 0.0000) [1 per cell]
U (0.3333, 0.6667, 0.0000) [2 per cell]
Ga (0.0000, 0.3350, 0.5000) [6 per cell]

Properties
Total magnetic moment (μB per atom): 1.124
Calculated density (g/cm3): 10.87
ΔH_f (0 K) (eV/atom): -0.237

***

Crystalline Pu2UGa6 at its relaxed geometry. Source: Alexandria, functional PBE.

a = 4.4244 Å, b = 6.9509 Å, c = 12.9818 Å
α = 90.00°, β = 90.00°, γ = 90.00°
Space group Immm (No. 71)
Unique sites:
Pu (0.0000, 0.0000, 0.1181) [4 per cell]
U (0.0000, 0.5000, 0.0000) [2 per cell]
Ga (0.0000, 0.1947, 0.3131) [8 per cell]
Ga (0.0000, 0.3057, 0.5000) [4 per cell]

Properties
Total magnetic moment (μB per atom): 1.554
Calculated density (g/cm3): 9.52
ΔH_f (0 K) (eV/atom): -0.086

***

Crystalline Pu2UGa6 at its relaxed geometry. Source: Alexandria, functional PBE.

a = 8.0884 Å, b = 8.0884 Å, c = 3.1330 Å
α = 90.00°, β = 90.00°, γ = 120.00°
Space group P6/mmm (No. 191)
Unique sites:
Pu (0.3333, 0.6667, 0.0000) [2 per cell]
U (0.0000, 0.0000, 0.0000) [1 per cell]
Ga (0.0000, 0.3329, 0.5000) [6 per cell]

Properties
Total magnetic moment (μB per atom): 1.470
Calculated density (g/cm3): 10.71
ΔH_f (0 K) (eV/atom): -0.305

***

Crystalline Pu3UGa8 at its relaxed geometry. Source: Alexandria, functional PBE.

a = 5.6004 Å, b = 5.6004 Å, c = 8.4714 Å
α = 90.00°, β = 90.00°, γ = 120.00°
Space group P3m1 (No. 156)
Unique sites:
Pu (0.0000, 0.0000, 0.0000) [1 per cell]
Pu (0.0000, 0.0000, 0.3193) [1 per cell]
Pu (0.3333, 0.6667, 0.8139) [1 per cell]
U (0.3333, 0.6667, 0.4945) [1 per cell]
Ga (0.0191, 0.5096, 0.1568) [3 per cell]
Ga (0.3148, 0.1574, 0.6583) [3 per cell]
Ga (0.6667, 0.3333, 0.4068) [1 per cell]
Ga (0.6667, 0.3333, 0.9090) [1 per cell]

Properties
Total magnetic moment (μB per atom): 0.654
Calculated density (g/cm3): 11.03
ΔH_f (0 K) (eV/atom): -0.340

***

Crystalline Pu2U2Ga at its relaxed geometry. Source: Alexandria, functional PBE.

a = 12.3814 Å, b = 4.6552 Å, c = 7.6366 Å
α = 90.00°, β = 118.77°, γ = 90.00°
Space group C2/m (No. 12)
Unique sites:
Pu (0.0720, 0.0000, 0.2490) [4 per cell]
Pu (0.2465, 0.5000, 0.7842) [4 per cell]
U (0.1209, 0.5000, 0.4187) [4 per cell]
U (0.1237, 0.0000, 0.7314) [4 per cell]
Ga (0.1009, 0.5000, 0.9947) [4 per cell]

Properties
Total magnetic moment (μB per atom): 0.093
Calculated density (g/cm3): 17.80
ΔH_f (0 K) (eV/atom): -0.069

***

Crystalline PuUGa at its relaxed geometry. Source: Alexandria, functional PBE.

a = 3.8138 Å, b = 3.8138 Å, c = 8.8557 Å
α = 90.00°, β = 90.00°, γ = 90.00°
Space group I4mm (No. 107)
Unique sites:
Pu (0.0000, 0.0000, 0.0000) [2 per cell]
U (0.0000, 0.0000, 0.6826) [2 per cell]
Ga (0.0000, 0.0000, 0.3404) [2 per cell]

Properties
Total magnetic moment (μB per atom): 2.470
Calculated density (g/cm3): 14.23
ΔH_f (0 K) (eV/atom): -0.062